TlGeN2 | PBE-GGA | optimized geometry

extended XYZ file:
```
16
Lattice="6.0469 0.0000 0.0000 0.0000 6.0469 0.0000 0.0000 0.0000 6.0469" Properties=species:S:1:pos:R:3 pbc="T T T"
Tl 0.0000 0.0000 0.0000
Tl 0.0000 3.0234 3.0234
Tl 3.0234 0.0000 3.0234
Tl 3.0234 3.0234 0.0000
Ge 0.0000 0.0000 3.0234
Ge 0.0000 3.0234 0.0000
Ge 3.0234 0.0000 0.0000
Ge 3.0234 3.0234 3.0234
N 1.5117 1.5117 1.5117
N 1.5117 1.5117 4.5352
N 1.5117 4.5352 1.5117
N 1.5117 4.5352 4.5352
N 4.5352 1.5117 1.5117
N 4.5352 1.5117 4.5352
N 4.5352 4.5352 1.5117
N 4.5352 4.5352 4.5352
```

Values from the calculation:
formation energy (no corrections): 6.64 eV per formula unit
offset from the most stable computed form: 1.201 eV per atom

---

Ac6AlGe2 | PBE-GGA | optimized geometry

extended XYZ file:
```
9
Lattice="8.9090 0.0000 0.0000 -4.4545 7.7154 0.0000 0.0000 0.0000 4.6000" Properties=species:S:1:pos:R:3 pbc="T T T"
Ac -1.0182 2.9110 1.0810
Ac -1.4244 7.1418 1.0810
Ac 2.0119 2.3373 3.5190
Ac 2.4427 5.3781 1.0810
Ac 5.8789 0.5737 3.5190
Ac 5.4728 4.8045 3.5190
Al 0.0000 0.0000 2.3000
Ge 0.0000 5.1436 3.3423
Ge 4.4545 2.5718 1.2577
```

Values from the calculation:
ΔH_f (0 K): -0.3328 eV/atom
offset from the most stable computed form: 0.058 eV per atom

---

BaCdRu2 | PBE-GGA | optimized geometry

extended XYZ file:
```
8
Lattice="4.6492 0.0000 0.0000 0.0000 4.6656 0.0000 0.0000 0.0000 8.2337" Properties=species:S:1:pos:R:3 pbc="T T T"
Ba 0.0000 0.0000 0.0000
Ba 2.3246 2.3328 0.0000
Cd 0.0000 2.3328 2.7826
Cd 2.3246 0.0000 2.7826
Ru 0.0000 0.0000 4.6648
Ru 0.0000 2.3328 5.7074
Ru 2.3246 0.0000 5.7074
Ru 2.3246 2.3328 4.6648
```

Values from the calculation:
ΔH_f (0 K): 0.3859 eV/atom

---

Sc2SnTe | PBE-GGA | optimized geometry

extended XYZ file:
```
16
Lattice="6.4513 0.0000 0.0000 0.0000 6.4513 0.0000 0.0000 0.0000 13.8105" Properties=species:S:1:pos:R:3 pbc="T T T"
Sc 1.5331 1.6128 1.7263
Sc 1.6128 4.7587 5.1790
Sc 1.6128 4.9182 12.0842
Sc 1.6926 1.6128 8.6316
Sc 4.7587 4.8385 8.6316
Sc 4.8385 1.5331 12.0842
Sc 4.8385 1.6926 5.1790
Sc 4.9182 4.8385 1.7263
Sn 0.0000 0.0000 0.0000
Sn 0.0000 3.2256 3.4526
Sn 3.2256 0.0000 10.3579
Sn 3.2256 3.2256 6.9053
Te 0.0000 0.0000 6.9053
Te 0.0000 3.2256 10.3579
Te 3.2256 0.0000 3.4526
Te 3.2256 3.2256 0.0000
```

Values from the calculation:
formation energy (no corrections): -1.47 eV per formula unit
offset from the most stable computed form: 0.510 eV per atom

---

K3ThGe2Te6 | PBE-GGA | optimized geometry

extended XYZ file:
```
12
Lattice="3.8689 -6.7022 0.0000 3.8689 6.7022 0.0000 -2.5838 0.0000 8.2282" Properties=species:S:1:pos:R:3 pbc="T T T"
K 0.0000 0.0000 0.0000
K 3.8689 2.2114 0.0000
K 3.8689 -2.2114 0.0000
Th 2.5770 0.0000 4.1141
Ge 2.5770 4.4651 4.1141
Ge 2.5770 -4.4651 4.1141
Te 1.2443 2.3095 2.4626
Te -0.0897 0.0000 5.7628
Te 1.2443 -2.3095 2.4626
Te 3.9096 2.3095 5.7656
Te 5.2437 0.0000 2.4654
Te 3.9096 -2.3095 5.7656
```

Values from the calculation:
formation energy (no corrections): -8.83 eV per formula unit

---

LaMg2P | PBE-GGA | optimized geometry

extended XYZ file:
```
4
Lattice="4.2942 0.0000 0.0000 0.0000 4.2942 0.0000 0.0000 0.0000 5.2049" Properties=species:S:1:pos:R:3 pbc="T T T"
La 0.0000 0.0000 0.0000
Mg 0.0000 2.1471 2.6024
Mg 2.1471 0.0000 2.6024
P 2.1471 2.1471 0.0000
```

Values from the calculation:
ΔH_f (0 K): -0.4742 eV/atom

---

La3MgS | PBE-GGA | optimized geometry

extended XYZ file:
```
5
Lattice="5.5579 0.0000 0.0000 0.0000 5.5579 0.0000 0.0000 0.0000 5.5579" Properties=species:S:1:pos:R:3 pbc="T T T"
La 0.0000 0.0000 2.7790
La 0.0000 2.7790 0.0000
La 2.7790 0.0000 0.0000
Mg 2.7790 2.7790 2.7790
S 0.0000 0.0000 0.0000
```

Values from the calculation:
formation energy (no corrections): -3.84 eV per formula unit
offset from the most stable computed form: 0.000 eV per atom

---

Pa6PdS12 | PBE-GGA | optimized geometry

extended XYZ file:
```
19
Lattice="6.0278 3.4801 3.5837 -6.0278 3.4801 3.5837 0.0000 -6.9603 3.5837" Properties=species:S:1:pos:R:3 pbc="T T T"
Pa -3.0773 -2.9083 5.5303
Pa -4.0573 1.2109 5.2208
Pa 0.9800 -4.1192 5.2208
Pa -0.9800 4.1192 5.5303
Pa 4.0574 -1.2109 5.5303
Pa 3.0773 2.9083 5.2208
Pd 0.0000 0.0000 5.3755
S -5.1759 -1.2300 6.0056
S -1.5227 -5.0975 4.7455
S -2.2326 -0.4813 4.2246
S -3.6532 3.8675 4.7455
S 1.5331 -1.6928 4.2246
S -0.6995 -2.1742 6.5265
S 0.6995 2.1742 4.2246
S -1.5331 1.6928 6.5265
S 3.6532 -3.8675 6.0056
S 2.2326 0.4813 6.5265
S 1.5227 5.0975 6.0056
S 5.1759 1.2300 4.7455
```

Values from the calculation:
formation energy (no corrections): -27.48 eV per formula unit

---

Th2AlTe | PBE-GGA | optimized geometry

extended XYZ file:
```
12
Lattice="4.4418 0.0000 0.0000 -2.2209 3.8467 0.0000 0.0000 0.0000 21.8525" Properties=species:S:1:pos:R:3 pbc="T T T"
Th 0.0000 0.0000 5.2955
Th 0.0000 0.0000 16.5570
Th 0.0000 2.5645 9.2728
Th 0.0000 2.5645 19.8638
Th 2.2209 1.2822 1.9886
Th 2.2209 1.2822 12.5797
Al 0.0000 0.0000 10.9262
Al 0.0000 2.5645 3.6421
Al 2.2209 1.2822 18.2104
Te 0.0000 0.0000 0.0000
Te 0.0000 2.5645 14.5683
Te 2.2209 1.2822 7.2842
```

Values from the calculation:
formation energy (no corrections): -2.24 eV per formula unit
offset from the most stable computed form: 0.046 eV per atom

---

LiSmGdIr | PBE-GGA | optimized geometry

extended XYZ file:
```
16
Lattice="7.0627 0.0000 0.0000 0.0000 7.0627 0.0000 0.0000 0.0000 7.0627" Properties=species:S:1:pos:R:3 pbc="T T T"
Li 0.0000 0.0000 0.0000
Li 0.0000 3.5314 3.5314
Li 3.5314 0.0000 3.5314
Li 3.5314 3.5314 0.0000
Sm 1.7657 1.7657 1.7657
Sm 1.7657 5.2970 5.2970
Sm 5.2970 1.7657 5.2970
Sm 5.2970 5.2970 1.7657
Gd 1.7657 1.7657 5.2970
Gd 1.7657 5.2970 1.7657
Gd 5.2970 1.7657 1.7657
Gd 5.2970 5.2970 5.2970
Ir 0.0000 0.0000 3.5314
Ir 0.0000 3.5314 0.0000
Ir 3.5314 0.0000 0.0000
Ir 3.5314 3.5314 3.5314
```

Values from the calculation:
ΔH_f (0 K): -0.4861 eV/atom

---

PHS3 | PBE-GGA | optimized geometry

extended XYZ file:
```
5
Lattice="4.0313 0.0000 0.0000 0.0000 4.0313 0.0000 0.0000 0.0000 4.0313" Properties=species:S:1:pos:R:3 pbc="T T T"
P 0.0000 0.0000 0.0000
H 2.0156 2.0156 2.0156
S 0.0000 2.0156 2.0156
S 2.0156 0.0000 2.0156
S 2.0156 2.0156 0.0000
```

Values from the calculation:
offset from the most stable computed form: 1.152 eV per atom

---

MnCrFe | PBE-GGA | optimized geometry

extended XYZ file:
```
6
Lattice="2.4489 0.0000 0.0000 0.0000 2.4489 0.0000 0.0000 0.0000 11.1771" Properties=species:S:1:pos:R:3 pbc="T T T"
Mn 0.0000 0.0000 0.0000
Mn 1.2245 1.2245 5.5885
Cr 0.0000 0.0000 7.5354
Cr 1.2245 1.2245 1.9469
Fe 0.0000 0.0000 3.8607
Fe 1.2245 1.2245 9.4492
```

Values from the calculation:
ΔH_f (0 K): 0.0990 eV/atom
offset from the most stable computed form: 0.036 eV per atom

---

Let's list raw total energy in order: -0.312, -0.332, -0.365, -0.391, -0.292, -0.283, -0.358, -0.538, -0.440, -0.579, -0.225, -0.660 Ry/atom.